DFT (PBE) results for crystalline NpGaH at its relaxed geometry.

Results
**Electronic total energy**: -6.01 eV per atom
**Polymorph energy (0 for the lowest one)**: 0.3054 eV per atom
**Space group**: P-6m2

Cell lengths 4.4875, 4.4875, 2.4572 Å; angles 90.00, 90.00, 120.00 degrees
Fractional positions:
1 Np 0.0000 0.0000 0.0000
2 Ga 0.3333 0.6667 0.5000
3 H 0.6667 0.3333 0.5000

DFT (PBE) results for crystalline Nd3Ti5O12 at its relaxed geometry.

Results
**Electronic total energy**: -8.69 eV per atom
**ΔE_f (raw)**: -3.03 eV per atom
**Space group**: Ia-3d

Cell lengths 11.1156, 11.1156, 11.1156 Å; angles 109.47, 109.47, 109.47 degrees
Fractional positions:
1 Nd 0.1250 0.2500 0.3750
2 Nd 0.1250 0.3750 0.7500
3 Nd 0.2500 0.3750 0.1250
4 Nd 0.2500 0.8750 0.6250
5 Nd 0.3750 0.1250 0.2500
6 Nd 0.3750 0.7500 0.1250
7 Nd 0.6250 0.2500 0.8750
8 Nd 0.6250 0.8750 0.7500
9 Nd 0.7500 0.1250 0.3750
10 Nd 0.7500 0.6250 0.8750
11 Nd 0.8750 0.6250 0.2500
12 Nd 0.8750 0.7500 0.6250
13 Ti 0.0000 0.0000 0.0000
14 Ti 0.0000 0.0000 0.5000
15 Ti 0.0000 0.5000 0.0000
16 Ti 0.0000 0.5000 0.5000
17 Ti 0.1250 0.7500 0.8750
18 Ti 0.1250 0.8750 0.2500
19 Ti 0.2500 0.1250 0.8750
20 Ti 0.2500 0.6250 0.3750
21 Ti 0.3750 0.2500 0.6250
22 Ti 0.3750 0.6250 0.7500
23 Ti 0.5000 0.0000 0.0000
24 Ti 0.5000 0.0000 0.5000
25 Ti 0.5000 0.5000 0.0000
26 Ti 0.5000 0.5000 0.5000
27 Ti 0.6250 0.3750 0.2500
28 Ti 0.6250 0.7500 0.3750
29 Ti 0.7500 0.3750 0.6250
30 Ti 0.7500 0.8750 0.1250
31 Ti 0.8750 0.1250 0.7500
32 Ti 0.8750 0.2500 0.1250
33 O 0.0220 0.2043 0.1189
34 O 0.0220 0.3177 0.9031
35 O 0.0854 0.7043 0.6823
36 O 0.0854 0.8811 0.4031
37 O 0.0969 0.6189 0.4146
38 O 0.0969 0.9780 0.6823
39 O 0.1189 0.0220 0.2043
40 O 0.1189 0.5969 0.9146
41 O 0.1823 0.2043 0.5854
42 O 0.1823 0.4780 0.5969
43 O 0.2043 0.1189 0.0220
44 O 0.2043 0.5854 0.1823
45 O 0.2957 0.3177 0.9146
46 O 0.2957 0.4780 0.3811
47 O 0.3177 0.9031 0.0220
48 O 0.3177 0.9146 0.2957
49 O 0.3811 0.2957 0.4780
50 O 0.3811 0.5854 0.9031
51 O 0.4031 0.0854 0.8811
52 O 0.4031 0.8177 0.5220
53 O 0.4146 0.0969 0.6189
54 O 0.4146 0.8177 0.7957
55 O 0.4780 0.3811 0.2957
56 O 0.4780 0.5969 0.1823
57 O 0.5220 0.4031 0.8177
58 O 0.5220 0.6189 0.7043
59 O 0.5854 0.1823 0.2043
60 O 0.5854 0.9031 0.3811
61 O 0.5969 0.1823 0.4780
62 O 0.5969 0.9146 0.1189
63 O 0.6189 0.4146 0.0969
64 O 0.6189 0.7043 0.5220
65 O 0.6823 0.0854 0.7043
66 O 0.6823 0.0969 0.9780
67 O 0.7043 0.5220 0.6189
68 O 0.7043 0.6823 0.0854
69 O 0.7957 0.4146 0.8177
70 O 0.7957 0.8811 0.9780
71 O 0.8177 0.5220 0.4031
72 O 0.8177 0.7957 0.4146
73 O 0.8811 0.4031 0.0854
74 O 0.8811 0.9780 0.7957
75 O 0.9031 0.0220 0.3177
76 O 0.9031 0.3811 0.5854
77 O 0.9146 0.1189 0.5969
78 O 0.9146 0.2957 0.3177
79 O 0.9780 0.6823 0.0969
80 O 0.9780 0.7957 0.8811

Among the records above, which one has the lowest electronic total energy?
Nd3Ti5O12

What is the formula in the first record?
NpGaH